KCd2In: optimized geometry, PBEsol.

abc: 3.4051 3.4051 31.9267
angles: 90.00 90.00 120.00
Space group R3m (No. 160, hexagonal axes)
Inequivalent atoms, fractional coordinates:
K1 0.0000 0.0000 0.0000 x3
Cd1 0.0000 0.0000 0.2416 x3
Cd2 0.0000 0.0000 0.5023 x3
In1 0.0000 0.0000 0.7606 x3

Results
Energy of formation, eV/atom: 0.103
Crystal system: trigonal


KCdIn2: optimized geometry, PBEsol.

abc: 3.468 3.786 8.525
angles: 90.00 90.00 90.00
Space group Pmmm (No. 47)
Inequivalent atoms, fractional coordinates:
K1 0.000 0.000 0.000 x1
Cd1 0.000 0.000 0.500 x1
In1 0.500 0.500 0.300 x2

Results
Energy of formation, eV/atom: -0.047
Crystal system: orthorhombic